1.
## Al2BH8 (GGA-PBE)

Data for crystalline Al2BH8 at its relaxed geometry.

Unit cell a=7.5871 b=5.3946 c=3.8160 alpha=90.00 beta=101.46 gamma=90.00
Last column: nearest neighbours and their distance in Å.
Space group C2/m (No. 12)
Unique sites:
Al1 0.1490 0.0000 0.3098 x4  5 H 1.79-1.88
B1 0.0000 0.5000 0.0000 x2  6 H 1.38-1.41
H1 0.1007 0.3239 0.2302 x8  1 B 1.41
H2 0.1035 0.0000 0.7692 x4  3 Al 1.85-2.02
H3 0.1311 0.5000 0.7965 x4  1 B 1.38

Values from the calculation:
Its total magnetization is 0.00 μB/f.u. The total energy comes out at -3.466 eV per atom. For the density of states at the Fermi level, the calculation gives 2.015 states/eV/cell.

***

2.
## PmDyS (GGA-PBE)

Data for crystalline PmDyS at its relaxed geometry.

Unit cell a=3.8369 b=3.8369 c=6.4397 alpha=90.00 beta=90.00 gamma=120.00
Last column: nearest neighbours and their distance in Å.
Space group P3m1 (No. 156)
Unique sites:
Pm1 0.0000 0.0000 0.0000 x1  3 S 2.82
Dy1 0.3333 0.6667 0.4775 x1  3 S 2.74
S1 0.6667 0.3333 0.7278 x1  3 Dy 2.74, 3 Pm 2.82

Values from the calculation:
Its total magnetization is 0.02 μB/f.u. Its uncorrected formation energy is -1265 meV per atom. For the density of states at the Fermi level, the calculation gives 1.182 states/eV/cell.

***

3.
## CaTaRu2 (GGA-PBE)

Data for crystalline CaTaRu2 at its relaxed geometry.

Unit cell a=4.6137 b=4.6137 c=3.2025 alpha=90.00 beta=90.00 gamma=90.00
Last column: nearest neighbours and their distance in Å.
Space group P4/mmm (No. 123)
Unique sites:
Ca1 0.0000 0.0000 0.0000 x1  8 Ru 2.81
Ta1 0.5000 0.5000 0.0000 x1  8 Ru 2.81
Ru1 0.0000 0.5000 0.5000 x2  4 Ta 2.81, 4 Ca 2.81

Values from the calculation:
Its total magnetization is 0.00 μB/f.u. Its formation energy is 19 meV/atom. For the density of states at the Fermi level, the calculation gives 3.692 states/eV/cell.